No. 1
Material: NiOsSeN2
Method: DFT, GGA-PBEsol
State: relaxed

Output
Raw total energy in eV/cell: -30.9
Crystal system: tetragonal
Density of states at the Fermi level in states/eV/f.u.: 5.19
Formation energy from raw total energies in eV/atom: 1.67
Spin magnetization in μB/atom: 0.115

Lattice parameters (Å, degrees): 3.5977 3.5977 4.7923 90.00 90.00 90.00
Last column: magnetic moment on the atom in μB.
Sites, in units of the cell vectors:
Ni1 0.0000 0.0000 0.0000  0.16
Os1 0.5000 0.5000 0.5000  -0.24
Se1 0.0000 0.0000 0.5000  0.03
N1 0.0000 0.5000 0.0000  0.24
N2 0.5000 0.0000 0.0000  0.24

---

No. 2
Material: CaSi2Os
Method: DFT, GGA-PBEsol
State: relaxed

Output
Raw total energy in eV/cell: -25.1
Crystal system: tetragonal
Density of states at the Fermi level in states/eV/f.u.: 2.15
Formation energy from raw total energies in eV/atom: 0.19
Spin magnetization in μB/atom: 0.000

Lattice parameters (Å, degrees): 3.9759 3.9548 3.9800 90.00 90.00 90.00
Sites, in units of the cell vectors:
Ca1 0.5000 0.5000 0.0000
Os1 0.0000 0.5000 0.5000
Si1 0.0000 0.0000 0.0000
Si2 0.5000 0.0000 0.5000

---

No. 3
Material: TlRuPt2
Method: DFT, GGA-PBEsol
State: relaxed

Output
Raw total energy in eV/cell: -25.6
Crystal system: tetragonal
Density of states at the Fermi level in states/eV/f.u.: 5.18
Spin magnetization in μB/atom: 0.172
Excess energy over the best structure of this formula in the dataset in meV per atom: 0

Lattice parameters (Å, degrees): 3.9983 3.9983 4.9022 114.07 114.07 90.00
Last column: magnetic moment on the atom in μB.
Sites, in units of the cell vectors:
Pt1 0.7500 0.2500 0.5000  0.13
Pt2 0.2500 0.7500 0.5000  0.13
Ru1 0.5000 0.5000 0.0000  0.42
Tl1 0.0000 0.0000 0.0000  -0.01

---

No. 4
Material: Ca2Mn2V3AgO12
Method: DFT, GGA-PBEsol
State: relaxed

Output
Raw total energy in eV/cell: -655.7
Crystal system: tetragonal
Formation energy from raw total energies in eV/atom: -2.25
Spin magnetization in μB/atom: 0.500

Lattice parameters (Å, degrees): 10.7639 10.7639 10.7639 109.45 109.45 109.52
Last column: magnetic moment on the atom in μB.
Sites, in units of the cell vectors:
Ca1 0.3750 0.5036 0.6286  0.00
Ca2 0.7536 0.6250 0.6286  0.00
Ca3 0.3750 0.0036 0.1286  0.00
Ca4 0.9964 0.1250 0.3714  0.00
Ca5 0.2536 0.6250 0.1286  0.00
Ca6 0.8750 0.7464 0.3714  0.00
Ca7 0.4964 0.1250 0.8714  0.00
Ca8 0.8750 0.2464 0.8714  0.00
Mn1 0.6250 0.3750 0.7500  4.17
Mn2 0.6250 0.8750 0.7500  4.17
Mn3 0.1250 0.8750 0.7500  4.17
Mn4 0.6250 0.3750 0.2500  4.17
Mn5 0.6250 0.8750 0.2500  4.17
Mn6 0.1250 0.3750 0.2500  4.17
Mn7 0.1250 0.8750 0.2500  4.17
Mn8 0.1250 0.3750 0.7500  4.17
V1 0.2472 0.1250 0.6222  0.34
V2 0.8750 0.9972 0.6222  0.34
V3 0.2500 0.7500 0.5000  0.32
V4 0.7500 0.2500 0.5000  0.32
V5 0.3750 0.2528 0.3778  0.34
V6 0.5028 0.6250 0.3778  0.34
V7 0.7472 0.1250 0.1222  0.34
V8 0.8750 0.4972 0.1222  0.34
V9 0.5000 0.5000 0.0000  0.32
V10 0.0000 0.0000 0.0000  0.32
V11 0.3750 0.7528 0.8778  0.34
V12 0.0028 0.6250 0.8778  0.34
Ag1 0.5000 0.0000 0.5000  0.01
Ag2 0.0000 0.5000 0.5000  0.01
Ag3 0.2500 0.2500 0.0000  0.01
Ag4 0.7500 0.7500 0.0000  0.01
O1 0.4298 0.8888 0.6550  0.01
O2 0.2305 0.5695 0.7406  0.01
O3 0.2103 0.2724 0.6282  0.01
O4 0.4305 0.1711 0.6610  0.01
O5 0.7305 0.9900 0.6610  0.01
O6 0.7252 0.2662 0.6550  0.01
O7 0.5224 0.3943 0.5621  0.01
O8 0.3289 0.0695 0.3390  0.01
O9 0.2276 0.2897 0.3718  0.01
O10 0.2252 0.5702 0.4590  0.01
O11 0.0100 0.6711 0.7406  0.01
O12 0.8321 0.9603 0.4379  0.01
O13 0.5397 0.6679 0.5621  0.01
O14 0.9298 0.2748 0.5410  0.01
O15 0.6112 0.0702 0.3450  0.01
O16 0.1057 0.9776 0.4379  0.01
O17 0.7338 0.3888 0.4590  0.01
O18 0.9179 0.8557 0.6282  0.01
O19 0.2338 0.7748 0.3450  0.01
O20 0.4211 0.2600 0.2406  0.01
O21 0.3195 0.4805 0.2406  0.01
O22 0.6443 0.5821 0.3718  0.01
O23 0.5100 0.7695 0.3390  0.01
O24 0.1388 0.9838 0.9590  0.01
O25 0.7400 0.9805 0.1610  0.01
O26 0.1112 0.7662 0.5410  0.01
O27 0.6057 0.1679 0.1282  0.01
O28 0.9305 0.2695 0.2594  0.01
O29 0.8289 0.4900 0.2594  0.01
O30 0.0162 0.9752 0.1550  0.01
O31 0.3321 0.8943 0.8718  0.01
O32 0.5162 0.3612 0.0410  0.01
O33 0.1443 0.7724 0.0621  0.01
O34 0.6388 0.6798 0.1550  0.01
O35 0.3202 0.4752 0.9590  0.01
O36 0.7103 0.0821 0.9379  0.01
O37 0.4179 0.7897 0.0621  0.01
O38 0.2400 0.0789 0.7594  0.01
O39 0.0248 0.1798 0.0410  0.01
O40 0.0224 0.4603 0.1282  0.01
O41 0.9211 0.6805 0.1610  0.01
O42 0.7276 0.3557 0.9379  0.01
O43 0.5248 0.4838 0.8450  0.01
O44 0.5195 0.7600 0.8390  0.01
O45 0.8195 0.5789 0.8390  0.01
O46 0.0397 0.4776 0.8718  0.01
O47 0.0195 0.1805 0.7594  0.01
O48 0.8202 0.8612 0.8450  0.01

---

No. 5
Material: Li2ZrTlCd
Method: DFT, GGA-PBEsol
State: relaxed

Output
Raw total energy in eV/cell: -11.7
Crystal system: tetragonal
Density of states at the Fermi level in states/eV/f.u.: 4.82
Spin magnetization in μB/atom: 0.670

Lattice parameters (Å, degrees): 5.3167 5.3167 5.5017 90.00 90.00 90.00
Last column: magnetic moment on the atom in μB.
Sites, in units of the cell vectors:
Tl1 0.5000 0.5000 0.5000  0.04
Li1 0.0000 0.5000 0.0000  0.06
Li2 0.5000 0.0000 0.0000  0.06
Zr1 0.0000 0.0000 0.0000  1.58
Cd1 0.0000 0.0000 0.5000  0.09

---

No. 6
Material: TaMoOs2
Method: DFT, GGA-PBEsol
State: relaxed

Output
Raw total energy in eV/cell: -48.8
Crystal system: tetragonal
Density of states at the Fermi level in states/eV/f.u.: 4.33
Spin magnetization in μB/atom: 0.000
Excess energy over the best structure of this formula in the dataset in meV per atom: 0

Lattice parameters (Å, degrees): 2.8203 2.8203 7.6408 90.00 90.00 90.00
Sites, in units of the cell vectors:
Mo1 0.5000 0.5000 0.5000
Os1 0.0000 0.0000 0.7409
Os2 0.0000 0.0000 0.2591
Ta1 0.5000 0.5000 0.0000